(1)
Entry from Alexandria via LeMat-Bulk: crystalline SiTeMo2 at its relaxed geometry (GGA-PBEsol).

a = 3.1765 Å, b = 3.4333 Å, c = 6.0793 Å
α = 90.00°, β = 99.15°, γ = 90.00°
With the nearest neighbours (Å) after each atom.
Sites, in units of the cell vectors:
Mo1 0.8931 0.0000 0.2258  2 Si 2.42
Mo2 0.1069 0.0000 0.7742  2 Si 2.42
Te1 0.5000 0.5000 0.5000  8 Mo 2.82-2.90, 2 Si 3.04
Si1 0.5000 0.5000 0.0000  4 Mo 2.42

energy relative to the elements, uncorrected: 0.163 eV/atom
M_tot: 0.0 μB per cell
theoretical density: 8.8 g cm⁻³
distance to the lowest polymorph of the same formula: 0.051 eV/atom

=====

(2)
Entry from Alexandria via LeMat-Bulk: crystalline Si2TeMo at its relaxed geometry (GGA-PBEsol).

a = 3.1650 Å, b = 3.1650 Å, c = 7.2571 Å
α = 90.00°, β = 90.00°, γ = 90.00°
With the nearest neighbours (Å) after each atom.
Sites, in units of the cell vectors:
Si1 0.0000 0.0000 0.9827  4 Si 2.58, 4 Mo 2.60
Si2 0.5000 0.5000 0.1594  4 Si 2.58, 1 Mo 2.61
Mo1 0.5000 0.5000 0.7993  5 Si 2.60-2.61, 4 Te 2.84
Te1 0.0000 0.0000 0.5586  4 Mo 2.84, 1 Si 3.08, 4 Te 3.16

energy relative to the elements, uncorrected: 0.068 eV/atom
M_tot: 0.0 μB per cell
theoretical density: 6.4 g cm⁻³

=====

(3)
Entry from Alexandria via LeMat-Bulk: crystalline Si2TeMo at its relaxed geometry (GGA-PBEsol).

a = 3.4513 Å, b = 4.5364 Å, c = 5.2448 Å
α = 113.96°, β = 107.12°, γ = 94.59°
With the nearest neighbours (Å) after each atom.
Sites, in units of the cell vectors:
Si1 0.0000 0.0000 0.5000  2 Mo 2.68, 2 Te 2.68, 4 Si 2.74-2.96
Si2 0.5000 0.5000 0.5000  2 Te 2.68, 2 Mo 2.68, 4 Si 2.74-2.96
Te1 0.0000 0.5000 0.0000  4 Si 2.68, 4 Mo 2.74-2.96
Mo1 0.5000 0.0000 0.0000  4 Si 2.68, 4 Te 2.74-2.96

energy relative to the elements, uncorrected: 0.511 eV/atom
M_tot: 0.0 μB per cell
theoretical density: 6.7 g cm⁻³

=====

(4)
Entry from Alexandria via LeMat-Bulk: crystalline Ti2Si2Mo at its relaxed geometry (GGA-PBEsol).

a = 3.4336 Å, b = 6.4878 Å, c = 6.4878 Å
α = 90.00°, β = 90.00°, γ = 90.00°
With the nearest neighbours (Å) after each atom.
Sites, in units of the cell vectors:
Mo1 0.0000 0.0000 0.0000  4 Si 2.55
Mo2 0.0000 0.5000 0.5000  4 Si 2.55
Si1 0.0000 0.8711 0.6289  1 Si 2.37, 6 Ti 2.51-2.61, 2 Mo 2.55
Si2 0.0000 0.3711 0.8711  1 Si 2.37, 6 Ti 2.51-2.61, 2 Mo 2.55
Si3 0.0000 0.6289 0.1289  1 Si 2.37, 6 Ti 2.51-2.61, 2 Mo 2.55
Si4 0.0000 0.1289 0.3711  1 Si 2.37, 6 Ti 2.51-2.61, 2 Mo 2.55
Ti1 0.5000 0.6719 0.8281  6 Si 2.51-2.61
Ti2 0.5000 0.3281 0.1719  6 Si 2.51-2.61
Ti3 0.5000 0.1719 0.6719  6 Si 2.51-2.61
Ti4 0.5000 0.8281 0.3281  6 Si 2.51-2.61

energy relative to the elements, uncorrected: -0.775 eV/atom
M_tot: 0.0 μB per cell
theoretical density: 5.7 g cm⁻³

=====

(5)
Entry from Alexandria via LeMat-Bulk: crystalline TiSi2Mo2 at its relaxed geometry (GGA-PBEsol).

a = 3.2603 Å, b = 6.6045 Å, c = 6.6045 Å
α = 90.00°, β = 90.00°, γ = 90.00°
With the nearest neighbours (Å) after each atom.
Sites, in units of the cell vectors:
Ti1 0.0000 0.0000 0.0000  4 Si 2.58
Ti2 0.0000 0.5000 0.5000  4 Si 2.58
Si1 0.0000 0.3670 0.8670  1 Si 2.48, 6 Mo 2.51-2.55, 2 Ti 2.58
Si2 0.0000 0.8670 0.6330  1 Si 2.48, 6 Mo 2.51-2.55, 2 Ti 2.58
Si3 0.0000 0.6330 0.1330  1 Si 2.48, 6 Mo 2.51-2.55, 2 Ti 2.58
Si4 0.0000 0.1330 0.3670  1 Si 2.48, 6 Mo 2.51-2.55, 2 Ti 2.58
Mo1 0.5000 0.1623 0.6623  6 Si 2.51-2.55
Mo2 0.5000 0.8377 0.3377  6 Si 2.51-2.55
Mo3 0.5000 0.3377 0.1623  6 Si 2.51-2.55
Mo4 0.5000 0.6623 0.8377  6 Si 2.51-2.55

energy relative to the elements, uncorrected: -0.530 eV/atom
M_tot: 0.0 μB per cell
theoretical density: 6.9 g cm⁻³

=====

(6)
Entry from Alexandria via LeMat-Bulk: crystalline Ti2Si6Mo at its relaxed geometry (GGA-PBEsol).

a = 4.6590 Å, b = 4.6667 Å, c = 6.4763 Å
α = 90.00°, β = 90.00°, γ = 119.95°
With the nearest neighbours (Å) after each atom.
Sites, in units of the cell vectors:
Si1 0.8339 0.6678 0.0000  5 Si 2.52-2.70, 2 Ti 2.55, 3 Mo 2.69-2.70
Si2 0.6816 0.8393 0.6671  5 Si 2.52-2.77, 4 Ti 2.56-2.75, 1 Mo 2.56
Si3 0.3184 0.1607 0.6671  5 Si 2.52-2.77, 4 Ti 2.56-2.75, 1 Mo 2.56
Si4 0.8423 0.1607 0.3329  5 Si 2.52-2.77, 4 Ti 2.56-2.75, 1 Mo 2.56
Si5 0.1577 0.8393 0.3329  5 Si 2.52-2.77, 4 Ti 2.56-2.75, 1 Mo 2.56
Si6 0.1661 0.3322 0.0000  5 Si 2.52-2.70, 2 Ti 2.55, 3 Mo 2.69-2.70
Mo1 0.5000 0.0000 0.0000  10 Si 2.56-2.70
Ti1 0.5000 0.5000 0.3336  10 Si 2.55-2.75
Ti2 0.0000 0.5000 0.6664  10 Si 2.55-2.75

energy relative to the elements, uncorrected: -0.649 eV/atom
M_tot: 0.0 μB per cell
theoretical density: 4.9 g cm⁻³

=====

(7)
Entry from Alexandria via LeMat-Bulk: crystalline TlSiMo at its relaxed geometry (GGA-PBEsol).

a = 3.0970 Å, b = 3.0970 Å, c = 6.5469 Å
α = 90.00°, β = 90.00°, γ = 120.00°
With the nearest neighbours (Å) after each atom.
Sites, in units of the cell vectors:
Si1 0.3333 0.6667 0.7062  3 Mo 2.47
Mo1 0.0000 0.0000 0.9659  3 Si 2.47
Tl1 0.6667 0.3333 0.3280  3 Mo 2.97, 3 Si 3.05, 6 Tl 3.10

energy relative to the elements, uncorrected: 0.422 eV/atom
M_tot: 0.0 μB per cell
theoretical density: 10.0 g cm⁻³
distance to the lowest polymorph of the same formula: 0.000 eV/atom

=====

(8)
Entry from Alexandria via LeMat-Bulk: crystalline TlSiMo2 at its relaxed geometry (GGA-PBEsol).

a = 2.9623 Å, b = 2.9623 Å, c = 8.8177 Å
α = 80.33°, β = 80.33°, γ = 60.00°
With the nearest neighbours (Å) after each atom.
Sites, in units of the cell vectors:
Mo1 0.7585 0.7585 0.7245  3 Si 2.59
Mo2 0.2415 0.2415 0.2755  3 Si 2.59
Si1 0.5000 0.5000 0.5000  6 Mo 2.59
Tl1 0.0000 0.0000 0.0000  6 Mo 2.93, 6 Tl 2.96

energy relative to the elements, uncorrected: 0.382 eV/atom
M_tot: 0.0 μB per cell
theoretical density: 10.7 g cm⁻³
distance to the lowest polymorph of the same formula: 0.000 eV/atom

=====

- What is the theoretical density in the eighth record?
  10.7 g cm⁻³

=====

- theoretical density of number 4 (Ti2Si2Mo)?
  5.7 g cm⁻³

=====

- theoretical density of number 4 (Ti2Si2Mo)?
  5.7 g cm⁻³

=====

- theoretical density of number 8 (TlSiMo2)?
  10.7 g cm⁻³